Entry from the Alexandria database: a geometry-optimized Li2Ni2MoO6 structure (PBE+U).

density of states at the Fermi level = 0.00 states/eV per cell
V = 10.38 Å³ per atom
total DFT energy (no corrections) = -62.422 eV/cell

a b c (Å): 5.141 5.141 5.262
angles (deg): 100.69 100.69 118.29
Fractional coordinates of all 11 atoms:
Li1 0.179 0.821 0.000
Li2 0.821 0.179 0.000
Ni1 0.337 0.663 0.500
Ni2 0.663 0.337 0.500
Mo1 0.000 0.000 0.500
O1 0.070 0.392 0.724
O2 0.225 0.225 0.277
O3 0.392 0.070 0.724
O4 0.608 0.930 0.276
O5 0.775 0.775 0.723
O6 0.930 0.608 0.276